No. 1
First-principles (PBE) data for GdSc2Al after structural relaxation, as listed in the Alexandria database.

a = 3.329 Å, b = 3.329 Å, c = 8.597 Å
α = 90.00°, β = 90.00°, γ = 90.00°
Positions (direct):
Gd: 0.000 0.000 0.000
Sc: 0.500 0.500 0.291
Sc: 0.500 0.500 0.709
Al: 0.000 0.000 0.500

Output
The calculation puts the energy relative to the lowest polymorph listed for this composition at 7 meV/atom. The calculation puts the formation enthalpy at 0 K at -0.800 eV/f.u. As for the space-group type: P4/mmm (123).

---

No. 2
First-principles (PBE) data for AgAs2Se after structural relaxation, as listed in the Alexandria database.

a = 6.530 Å, b = 6.530 Å, c = 6.530 Å
α = 147.97°, β = 144.75°, γ = 48.37°
Positions (direct):
Ag: 0.000 0.000 0.000
As: 0.264 0.764 0.500
As: 0.422 0.422 0.000
Se: 0.671 0.171 0.500

Output
Its formation energy from raw total energies is 230 meV per atom. As for the space-group type: Imm2 (44).